Entry 1:
A plane-wave DFT calculation with PBE was carried out for crystalline YSc2In at its relaxed geometry.

Cell: 5.218 5.218 5.218 Å, 60.00 60.00 60.00°
Site moments in Bohr magnetons follow the coordinates.
Fractional positions:
In1 0.500 0.500 0.500  -0.01
Sc1 0.000 0.000 0.000  0.39
Sc2 0.250 0.250 0.250  0.26
Y1 0.750 0.750 0.750  0.13

## Properties
E_tot (eV per atom): -5.63
Symmetry: F-43m (216)

***

Entry 2:
A plane-wave DFT calculation with PBE was carried out for crystalline NpScGa2 at its relaxed geometry.

Cell: 3.044 3.044 8.500 Å, 90.00 90.00 90.00°
Site moments in Bohr magnetons follow the coordinates.
Fractional positions:
Np1 0.500 0.500 0.500  4.02
Sc1 0.500 0.500 0.000  0.23
Ga1 0.000 0.000 0.764  -0.04
Ga2 0.000 0.000 0.236  -0.04

## Properties
Offset from the most stable computed form (eV/atom): 0.000
Symmetry: P4/mmm (123)

***

Entry 3:
A plane-wave DFT calculation with PBE was carried out for crystalline BaPmAuSe3 at its relaxed geometry.

Cell: 4.296 8.832 9.634 Å, 105.20 90.00 90.00°
Fractional positions:
Ba1 0.250 0.200 0.246
Ba2 0.750 0.800 0.754
Pm1 0.250 0.679 0.165
Pm2 0.750 0.321 0.835
Au1 0.250 0.101 0.591
Au2 0.750 0.899 0.409
Se1 0.750 0.902 0.133
Se2 0.250 0.098 0.867
Se3 0.250 0.749 0.479
Se4 0.750 0.251 0.521
Se5 0.750 0.443 0.155
Se6 0.250 0.557 0.845

## Properties
Energy relative to the elements, uncorrected (eV/atom): -1.50
Symmetry: P2_1/m (11)

***

Entry 4:
A plane-wave DFT calculation with PBE was carried out for crystalline Ba3IO6 at its relaxed geometry.

Cell: 6.273 6.273 6.476 Å, 89.92 119.36 119.68°
Fractional positions:
Ba1 0.484 0.744 0.228
Ba2 0.000 0.500 0.500
Ba3 0.516 0.256 0.772
I1 0.000 0.000 0.000
O1 0.987 0.717 0.157
O2 0.013 0.283 0.843
O3 0.904 0.788 0.692
O4 0.096 0.212 0.308
O5 0.440 0.170 0.157
O6 0.560 0.830 0.843

## Properties
Energy relative to the elements, uncorrected (eV/atom): -1.85
Offset from the most stable computed form (eV/atom): 0.005
Symmetry: C2/m (12)

***

Entry 5:
A plane-wave DFT calculation with PBE was carried out for crystalline Th3ScPb5 at its relaxed geometry.

Cell: 6.469 9.653 9.653 Å, 120.00 90.00 90.00°
Fractional positions:
Th1 0.750 0.385 0.000
Th2 0.750 0.615 0.615
Th3 0.750 0.000 0.385
Th4 0.250 0.615 0.000
Th5 0.250 0.385 0.385
Th6 0.250 0.000 0.615
Sc1 0.000 0.000 0.000
Sc2 0.500 0.000 0.000
Pb1 0.000 0.333 0.667
Pb2 0.500 0.667 0.333
Pb3 0.000 0.667 0.333
Pb4 0.500 0.333 0.667
Pb5 0.750 0.732 0.000
Pb6 0.750 0.268 0.268
Pb7 0.750 0.000 0.732
Pb8 0.250 0.268 0.000
Pb9 0.250 0.732 0.732
Pb10 0.250 0.000 0.268

## Properties
E_tot (eV per atom): -5.60
Symmetry: P6_3/mcm (193)

***

Entry 6:
A plane-wave DFT calculation with PBE was carried out for crystalline Ta2ZnNiPd at its relaxed geometry.

Cell: 4.818 4.548 4.818 Å, 90.00 90.00 90.00°
Fractional positions:
Ni1 0.500 0.500 0.500
Zn1 0.000 0.500 0.000
Pd1 0.000 0.000 0.000
Ta1 0.000 0.000 0.500
Ta2 0.500 0.000 0.000

## Properties
E_tot (eV per atom): -5.83
Symmetry: P4/mmm (123)

***

Which formula does entry 1 have?
YSc2In